# 1
NbCdCl6, optimized geometry, DFT PBE-GGA; calculated volume = 30.44 Å³/atom; size of the total moment = 0.13 μB per atom; DOS(E_F) = 0.08 states/eV/atom; energy = -62.2 eV per cell; energy relative to the elements, uncorrected = -1.1321 eV/atom
1.0
6.535 0.000 0.000
0.000 12.113 0.000
-2.164 0.000 6.152
Nb Cd Cl
2 2 12
Cartesian
0.000 0.000 0.000 Nb
3.267 6.056 0.000 Nb
-1.082 6.056 3.076 Cd
2.185 0.000 3.076 Cd
-0.220 0.000 4.792 Cl
1.030 1.699 1.472 Cl
1.030 10.414 1.472 Cl
0.074 4.357 4.681 Cl
0.074 7.756 4.681 Cl
1.324 6.056 1.360 Cl
3.047 6.056 4.792 Cl
4.297 4.357 1.472 Cl
4.297 7.756 1.472 Cl
3.341 1.699 4.681 Cl
3.341 10.414 4.681 Cl
4.591 0.000 1.360 Cl

# 2
Ba3LiTl2S6, optimized geometry, DFT PBE-GGA; calculated volume = 30.34 Å³/atom; size of the total moment = 0.00 μB per atom; DOS(E_F) = 0.72 states/eV/atom; energy = -49.3 eV per cell; energy relative to the elements, uncorrected = -1.0142 eV/atom
1.0
7.443 0.000 0.000
-3.721 6.446 0.000
0.000 0.000 7.588
Ba Li Tl S
3 1 2 6
Cartesian
0.000 0.000 0.000 Ba
0.000 4.297 4.641 Ba
3.722 2.149 2.948 Ba
0.000 0.000 3.794 Li
0.000 4.297 0.942 Tl
3.722 2.149 6.646 Tl
0.000 2.114 2.325 S
-1.891 5.389 2.325 S
1.831 1.057 5.263 S
1.891 5.389 2.325 S
5.612 1.057 5.263 S
3.721 4.332 5.263 S